(1)
# Pr4Sb2O

Crystalline Pr4Sb2O at its relaxed geometry (PBE, Alexandria).

Cell lengths 10.3135, 10.3135, 10.3135 Å; angles 153.75, 153.75, 37.46 degrees
Atoms (fractional coordinates):
Pr (0.0000, 0.5000, 0.5000)
Pr (0.1758, 0.1758, 0.0000)
Pr (0.5000, 0.0000, 0.5000)
Pr (0.8242, 0.8242, 0.0000)
Sb (0.3423, 0.3423, 0.0000)
Sb (0.6577, 0.6577, 0.0000)
O (0.5000, 0.5000, 0.0000)

Symmetry ... I4/mmm (139)
E_form (uncorrected) ... -1.240 eV/atom
Total DFT energy (no corrections) ... -5.857 eV per atom
Volume ... 214.25 Å³ per cell
Mass density ... 6.38 g cm⁻³

(2)
# Pr4SbO

Crystalline Pr4SbO at its relaxed geometry (PBE, Alexandria).

Cell lengths 8.2234, 8.2234, 7.4563 Å; angles 106.28, 106.28, 43.59 degrees
Atoms (fractional coordinates):
Pr (0.0305, 0.1654, 0.4411)
Pr (0.1654, 0.0305, 0.9411)
Pr (0.2523, 0.3673, 0.8199)
Pr (0.3673, 0.2523, 0.3199)
Pr (0.6327, 0.7477, 0.6801)
Pr (0.7477, 0.6327, 0.1801)
Pr (0.8346, 0.9695, 0.0589)
Pr (0.9695, 0.8346, 0.5589)
Sb (0.3915, 0.6085, 0.2500)
Sb (0.6085, 0.3915, 0.7500)
O (0.0000, 0.5000, 0.5000)
O (0.5000, 0.0000, 0.0000)

Symmetry ... C2/c (15)
E_form (uncorrected) ... -1.168 eV/atom
Total DFT energy (no corrections) ... -5.868 eV per atom
Volume ... 331.41 Å³ per cell
Mass density ... 7.03 g cm⁻³

(3)
# PrSbO4

Crystalline PrSbO4 at its relaxed geometry (PBE, Alexandria).

Cell lengths 5.9520, 4.7283, 14.2616 Å; angles 90.00, 111.13, 90.00 degrees
Atoms (fractional coordinates):
Pr (0.1074, 0.1382, 0.1381)
Pr (0.1074, 0.8618, 0.6381)
Pr (0.8926, 0.1382, 0.3619)
Pr (0.8926, 0.8618, 0.8619)
Sb (0.4203, 0.2398, 0.9075)
Sb (0.4203, 0.7602, 0.4075)
Sb (0.5797, 0.2398, 0.5925)
Sb (0.5797, 0.7602, 0.0925)
O (0.0381, 0.3664, 0.6060)
O (0.0381, 0.6336, 0.1060)
O (0.2590, 0.0726, 0.3145)
O (0.2590, 0.9274, 0.8145)
O (0.2888, 0.0022, 0.0134)
O (0.2888, 0.9978, 0.5134)
O (0.3031, 0.3725, 0.6696)
O (0.3031, 0.6275, 0.1696)
O (0.6969, 0.3725, 0.8304)
O (0.6969, 0.6275, 0.3304)
O (0.7112, 0.0022, 0.4866)
O (0.7112, 0.9978, 0.9866)
O (0.7410, 0.0726, 0.1855)
O (0.7410, 0.9274, 0.6855)
O (0.9619, 0.3664, 0.8940)
O (0.9619, 0.6336, 0.3940)

Symmetry ... P2/c (13)
E_form (uncorrected) ... -1.862 eV/atom
Total DFT energy (no corrections) ... -6.651 eV per atom
Volume ... 374.36 Å³ per cell
Mass density ... 5.80 g cm⁻³

(4)
# PrSbO4

Crystalline PrSbO4 at its relaxed geometry (PBE, Alexandria).

Cell lengths 7.7894, 5.5943, 7.7805 Å; angles 90.00, 100.45, 90.00 degrees
Atoms (fractional coordinates):
Pr (0.1507, 0.2258, 0.3993)
Pr (0.1507, 0.2742, 0.8993)
Pr (0.8493, 0.7258, 0.1007)
Pr (0.8493, 0.7742, 0.6007)
Sb (0.3367, 0.7325, 0.1985)
Sb (0.3367, 0.7675, 0.6985)
Sb (0.6633, 0.2325, 0.3015)
Sb (0.6633, 0.2675, 0.8015)
O (0.1208, 0.5242, 0.1735)
O (0.1208, 0.9758, 0.6735)
O (0.1728, 0.5025, 0.6302)
O (0.1728, 0.9975, 0.1302)
O (0.3312, 0.6403, 0.9449)
O (0.3312, 0.8597, 0.4449)
O (0.4389, 0.0891, 0.7969)
O (0.4389, 0.4109, 0.2969)
O (0.5611, 0.5891, 0.7031)
O (0.5611, 0.9109, 0.2031)
O (0.6688, 0.1403, 0.5551)
O (0.6688, 0.3597, 0.0551)
O (0.8272, 0.0025, 0.8698)
O (0.8272, 0.4975, 0.3698)
O (0.8792, 0.0242, 0.3265)
O (0.8792, 0.4758, 0.8265)

Symmetry ... P2_1/c (14)
E_form (uncorrected) ... -2.318 eV/atom
Total DFT energy (no corrections) ... -7.107 eV per atom
Volume ... 333.42 Å³ per cell
Mass density ... 6.51 g cm⁻³

(5)
# Pr3Sb2O

Crystalline Pr3Sb2O at its relaxed geometry (PBE, Alexandria).

Cell lengths 7.4586, 7.4586, 8.1739 Å; angles 97.37, 97.37, 51.10 degrees
Atoms (fractional coordinates):
Pr (0.1159, 0.8841, 0.7500)
Pr (0.2570, 0.4419, 0.3209)
Pr (0.4419, 0.2570, 0.8209)
Pr (0.5581, 0.7430, 0.1791)
Pr (0.7430, 0.5581, 0.6791)
Pr (0.8841, 0.1159, 0.2500)
Sb (0.1001, 0.2340, 0.0195)
Sb (0.2340, 0.1001, 0.5195)
Sb (0.7660, 0.8999, 0.4805)
Sb (0.8999, 0.7660, 0.9805)
O (0.4684, 0.5316, 0.7500)
O (0.5316, 0.4684, 0.2500)

Symmetry ... C2/c (15)
E_form (uncorrected) ... -1.547 eV/atom
Total DFT energy (no corrections) ... -6.137 eV per atom
Volume ... 350.28 Å³ per cell
Mass density ... 6.47 g cm⁻³

(6)
# Pr4Sb2O

Crystalline Pr4Sb2O at its relaxed geometry (PBE, Alexandria).

Cell lengths 6.6554, 6.8395, 9.4771 Å; angles 90.00, 108.97, 90.00 degrees
Atoms (fractional coordinates):
Pr (0.0332, 0.0051, 0.2968)
Pr (0.0332, 0.4949, 0.2968)
Pr (0.3434, 0.2500, 0.0486)
Pr (0.4343, 0.2500, 0.6574)
Pr (0.5657, 0.7500, 0.3426)
Pr (0.6566, 0.7500, 0.9514)
Pr (0.9668, 0.5051, 0.7032)
Pr (0.9668, 0.9949, 0.7032)
Sb (0.1992, 0.7500, 0.0270)
Sb (0.3351, 0.7500, 0.5981)
Sb (0.6649, 0.2500, 0.4019)
Sb (0.8008, 0.2500, 0.9730)
O (0.1997, 0.2500, 0.7909)
O (0.8003, 0.7500, 0.2091)

Symmetry ... P2_1/m (11)
E_form (uncorrected) ... -1.405 eV/atom
Total DFT energy (no corrections) ... -6.022 eV per atom
Volume ... 407.95 Å³ per cell
Mass density ... 6.70 g cm⁻³